Below is a relaxed Ce8SiIr3Br4 crystal, with properties calculated at the PBE level.

Cell: 8.8713 8.8713 8.8713 Å, 56.02 56.02 56.02°
Element x y z (fractional)
1 Ce 0.2257 0.7384 0.7384
2 Ce 0.2339 0.2339 0.2339
3 Ce 0.2616 0.2616 0.7743
4 Ce 0.2616 0.7743 0.2616
5 Ce 0.7384 0.2257 0.7384
6 Ce 0.7384 0.7384 0.2257
7 Ce 0.7661 0.7661 0.7661
8 Ce 0.7743 0.2616 0.2616
9 Si 0.5000 0.5000 0.5000
10 Ir 0.0000 0.0000 0.5000
11 Ir 0.0000 0.5000 0.0000
12 Ir 0.5000 0.0000 0.0000
13 Br 0.0000 0.0000 0.0000
14 Br 0.0000 0.5000 0.5000
15 Br 0.5000 0.0000 0.5000
16 Br 0.5000 0.5000 0.0000

Results
Final energy = -6.38 eV/atom
Formation energy from raw total energies = -993.9 meV per atom

Below is a relaxed CeSmIrBr crystal, with properties calculated at the PBE level.

Cell: 8.1931 8.1931 8.1931 Å, 28.94 28.94 28.94°
Element x y z (fractional)
1 Ce 0.0000 0.0000 0.0000
2 Sm 0.7951 0.7951 0.7951
3 Ir 0.3945 0.3945 0.3945
4 Br 0.5654 0.5654 0.5654

Results
Final energy = -6.36 eV/atom
Formation energy from raw total energies = -1061.3 meV per atom